1.
First-principles (PBE-GGA) data for a relaxed Ac2Zn3NiPt4 crystal, as listed in Alexandria via LeMat-Bulk.

DFT formation energy = -723 meV/atom
Total magnetization = 0.0 Bohr magnetons per cell
Crystal system = tetragonal

Lattice parameters (Å, degrees): 4.2936 4.2936 10.8516 90.00 90.00 90.00
Space group P-4m2 (No. 115)
Unique sites:
Ac: 0.0000 0.5000 0.2447 [2 per cell]
Zn: 0.0000 0.0000 0.0000 [1 per cell]
Zn: 0.0000 0.5000 0.6295 [2 per cell]
Ni: 0.5000 0.5000 0.0000 [1 per cell]
Pt: 0.0000 0.0000 0.5000 [1 per cell]
Pt: 0.0000 0.5000 0.8634 [2 per cell]
Pt: 0.5000 0.5000 0.5000 [1 per cell]

2.
First-principles (PBE-GGA) data for a relaxed HfMg2SeN crystal, as listed in Alexandria via LeMat-Bulk.

Total magnetization = 0.0 Bohr magnetons per cell
Energy relative to the elements, uncorrected = 1.0266 eV per atom
Crystal system = tetragonal

Lattice parameters (Å, degrees): 5.4242 5.4242 3.7317 90.00 90.00 90.00
Space group P4/mmm (No. 123)
Unique sites:
Hf: 0.0000 0.0000 0.0000 [1 per cell]
Mg: 0.0000 0.5000 0.5000 [2 per cell]
Se: 0.5000 0.5000 0.5000 [1 per cell]
N: 0.5000 0.5000 0.0000 [1 per cell]

3.
First-principles (PBE-GGA) data for a relaxed Th3B2Ir9 crystal, as listed in Alexandria via LeMat-Bulk.

DFT formation energy = -734 meV/atom
Total magnetization = 0.0 Bohr magnetons per cell
Crystal system = trigonal

Lattice parameters (Å, degrees): 6.0262 6.0262 7.3473 90.00 90.00 120.00
Space group P-3m1 (No. 164)
Unique sites:
Th: 0.0000 0.0000 0.0000 [1 per cell]
Th: 0.3333 0.6667 0.3376 [2 per cell]
B: 0.3333 0.6667 0.8138 [2 per cell]
Ir: 0.0000 0.5000 0.0000 [3 per cell]
Ir: 0.1604 0.3207 0.6618 [6 per cell]

4.
First-principles (PBE-GGA) data for a relaxed Sr2Ti2F crystal, as listed in Alexandria via LeMat-Bulk.

Total magnetization = 10.1 Bohr magnetons per cell
Energy relative to the elements, uncorrected = 0.0699 eV per atom
Energy relative to the lowest polymorph listed for this composition = 0.0 meV/atom
Crystal system = tetragonal

Lattice parameters (Å, degrees): 6.6725 6.6725 7.0017 90.00 90.00 90.00
Space group I4/mmm (No. 139)
Unique sites:
Sr: 0.0000 0.5000 0.2500 [4 per cell]
Ti: 0.0000 0.0000 0.2042 [4 per cell]
F: 0.0000 0.0000 0.5000 [2 per cell]

| no. | raw total energy (eV/cell) |
| --- | --- |
| 1 | -49.213 |
| 2 | -19.820 |
| 3 | -125.641 |
| 4 | -41.351 |